# Nd3Si4Ru2 PBE optimized geometry
data_Nd3Si4Ru2
_chemical_formula_sum 'Nd6 Si8 Ru4'
_symmetry_space_group_name_H-M 'C 1 2/m 1'
_symmetry_Int_Tables_number 12
_cell_length_a 11.204
_cell_length_b 4.189
_cell_length_c 8.248
_cell_angle_alpha 90.00
_cell_angle_beta 108.59
_cell_angle_gamma 90.00
loop_
_symmetry_equiv_pos_as_xyz
'x,y,z'
'-x,-y,-z'
'-x,y,-z'
'x,-y,z'
'x+1/2,y+1/2,z'
'-x+1/2,-y+1/2,-z'
'-x+1/2,y+1/2,-z'
'x+1/2,-y+1/2,z'
loop_
_atom_site_label
_atom_site_fract_x
_atom_site_fract_y
_atom_site_fract_z
Nd1 0.000 0.000 0.000
Nd2 0.110 0.500 0.695
Si1 0.112 0.000 0.405
Si2 0.222 0.500 0.078
Ru1 0.192 0.500 0.356
# E_form (uncorrected) in meV per atom: -767
# DOS at the Fermi energy in states/eV per atom: 0.60
# Volume in A^3/atom: 20.385